# 1
Computed, not measured: IrRh2Au at its PBEsol-relaxed geometry at the SCAN level of DFT.

```
data_IrRh2Au
_chemical_formula_sum 'Ir1 Rh2 Au1'
_cell_length_a 2.7292
_cell_length_b 2.7292
_cell_length_c 7.7661
_cell_angle_alpha 90.00
_cell_angle_beta 90.00
_cell_angle_gamma 90.00
_space_group_name_H-M_alt 'P 4/m m m'
_space_group_IT_number 123
_space_group_name_Hall '-P 4 2'
loop_
_atom_site_label
_atom_site_type_symbol
_atom_site_fract_x
_atom_site_fract_y
_atom_site_fract_z
_atom_site_occupancy
Ir1 Ir 0.0000 0.0000 0.0000 1
Rh1 Rh 0.5000 0.5000 0.2335 1
Au1 Au 0.0000 0.0000 0.5000 1
```

Results
Final energy   -51.91 eV per atom
Total magnetization   0.000 μB/atom


# 2
Computed, not measured: IrRh2Au at its PBEsol-relaxed geometry at the SCAN level of DFT.

```
data_IrRh2Au
_chemical_formula_sum 'Ir2 Rh4 Au2'
_cell_length_a 9.0279
_cell_length_b 2.7444
_cell_length_c 4.7340
_cell_angle_alpha 90.00
_cell_angle_beta 100.34
_cell_angle_gamma 90.00
_space_group_name_H-M_alt 'C 1 m 1'
_space_group_IT_number 8
_space_group_name_Hall 'C -2y'
loop_
_atom_site_label
_atom_site_type_symbol
_atom_site_fract_x
_atom_site_fract_y
_atom_site_fract_z
_atom_site_occupancy
Ir1 Ir 0.0000 0.0000 0.0000 1
Rh1 Rh 0.2422 0.5000 0.2268 1
Rh2 Rh 0.4884 0.0000 0.4769 1
Au1 Au 0.2443 0.0000 0.7296 1
```

Results
Final energy   -51.79 eV per atom
Total magnetization   0.000 μB/atom


# 3
Computed, not measured: Ir2RhAu at its PBEsol-relaxed geometry at the SCAN level of DFT.

```
data_Ir2RhAu
_chemical_formula_sum 'Ir4 Rh2 Au2'
_cell_length_a 3.8759
_cell_length_b 3.8759
_cell_length_c 7.7292
_cell_angle_alpha 90.00
_cell_angle_beta 90.00
_cell_angle_gamma 90.00
_space_group_name_H-M_alt 'I -4 m 2'
_space_group_IT_number 119
_space_group_name_Hall 'I -4 -2'
loop_
_atom_site_label
_atom_site_type_symbol
_atom_site_fract_x
_atom_site_fract_y
_atom_site_fract_z
_atom_site_occupancy
Ir1 Ir 0.0000 0.0000 0.0000 1
Ir2 Ir 0.0000 0.5000 0.2500 1
Rh1 Rh 0.0000 0.0000 0.5000 1
Au1 Au 0.0000 0.5000 0.7500 1
```

Results
Final energy   -61.02 eV per atom
Total magnetization   0.000 μB/atom


# 4
Computed, not measured: Ir2RhAu at its PBEsol-relaxed geometry at the SCAN level of DFT.

```
data_Ir2RhAu
_chemical_formula_sum 'Ir6 Rh3 Au3'
_cell_length_a 2.7384
_cell_length_b 2.7384
_cell_length_c 26.9510
_cell_angle_alpha 90.00
_cell_angle_beta 90.00
_cell_angle_gamma 120.00
_space_group_name_H-M_alt 'R 3 m'
_space_group_IT_number 160
_space_group_name_Hall 'R 3 -2"'
loop_
_atom_site_label
_atom_site_type_symbol
_atom_site_fract_x
_atom_site_fract_y
_atom_site_fract_z
_atom_site_occupancy
Ir1 Ir 0.0000 0.0000 0.0000 1
Ir2 Ir 0.0000 0.0000 0.2537 1
Rh1 Rh 0.0000 0.0000 0.7460 1
Au1 Au 0.0000 0.0000 0.4991 1
```

Results
Final energy   -61.16 eV per atom
Total magnetization   0.000 μB/atom


# 5
Computed, not measured: Ir2RhAu at its PBEsol-relaxed geometry at the SCAN level of DFT.

```
data_Ir2RhAu
_chemical_formula_sum 'Ir4 Rh2 Au2'
_cell_length_a 2.6994
_cell_length_b 4.6237
_cell_length_c 9.5505
_cell_angle_alpha 90.00
_cell_angle_beta 90.00
_cell_angle_gamma 90.00
_space_group_name_H-M_alt 'I m m m'
_space_group_IT_number 71
_space_group_name_Hall '-I 2 2'
loop_
_atom_site_label
_atom_site_type_symbol
_atom_site_fract_x
_atom_site_fract_y
_atom_site_fract_z
_atom_site_occupancy
Ir1 Ir 0.0000 0.0000 0.2330 1
Rh1 Rh 0.0000 0.5000 0.5000 1
Au1 Au 0.0000 0.5000 0.0000 1
```

Results
Final energy   -60.98 eV per atom
Total magnetization   0.000 μB/atom


# 6
Computed, not measured: IrRh2Au at its PBEsol-relaxed geometry at the SCAN level of DFT.

```
data_IrRh2Au
_chemical_formula_sum 'Ir3 Rh6 Au3'
_cell_length_a 2.7305
_cell_length_b 2.7305
_cell_length_c 26.8552
_cell_angle_alpha 90.00
_cell_angle_beta 90.00
_cell_angle_gamma 120.00
_space_group_name_H-M_alt 'R -3 m'
_space_group_IT_number 166
_space_group_name_Hall '-R 3 2"'
loop_
_atom_site_label
_atom_site_type_symbol
_atom_site_fract_x
_atom_site_fract_y
_atom_site_fract_z
_atom_site_occupancy
Ir1 Ir 0.0000 0.0000 0.0000 1
Rh1 Rh 0.0000 0.0000 0.2538 1
Au1 Au 0.0000 0.0000 0.5000 1
```

Results
Final energy   -51.88 eV per atom
Total magnetization   0.000 μB/atom


- total magnetization of number 3 (Ir2RhAu)?
  0.000 μB/atom


- What is the formula in the second record?
  IrRh2Au


What did the fifth record say?
Computed, not measured: Ir2RhAu at its PBEsol-relaxed geometry at the SCAN level of DFT.

```
data_Ir2RhAu
_chemical_formula_sum 'Ir4 Rh2 Au2'
_cell_length_a 2.6994
_cell_length_b 4.6237
_cell_length_c 9.5505
_cell_angle_alpha 90.00
_cell_angle_beta 90.00
_cell_angle_gamma 90.00
_space_group_name_H-M_alt 'I m m m'
_space_group_IT_number 71
_space_group_name_Hall '-I 2 2'
loop_
_atom_site_label
_atom_site_type_symbol
_atom_site_fract_x
_atom_site_fract_y
_atom_site_fract_z
_atom_site_occupancy
Ir1 Ir 0.0000 0.0000 0.2330 1
Rh1 Rh 0.0000 0.5000 0.5000 1
Au1 Au 0.0000 0.5000 0.0000 1
```

Results
Final energy   -60.98 eV per atom
Total magnetization   0.000 μB/atom